A relaxed structure of Ac19Tb6Nd4, computed with GGA-PBE.

Unit cell a=11.778 b=11.778 c=11.778 alpha=109.47 beta=109.47 gamma=109.47
Sites, in units of the cell vectors:
Tb (0.885, 0.385, 0.500)
Tb (0.115, 0.615, 0.500)
Tb (0.500, 0.115, 0.615)
Tb (0.385, 0.500, 0.885)
Tb (0.500, 0.885, 0.385)
Tb (0.615, 0.500, 0.115)
Ac (0.000, 0.733, 0.733)
Ac (0.267, 0.267, 0.000)
Ac (0.781, 0.999, 0.340)
Ac (0.733, 0.000, 0.733)
Ac (0.441, 0.660, 0.659)
Ac (0.000, 0.267, 0.267)
Ac (0.660, 0.659, 0.441)
Ac (0.659, 0.441, 0.660)
Ac (0.733, 0.733, 0.000)
Ac (0.559, 0.218, 0.219)
Ac (0.340, 0.781, 0.999)
Ac (0.218, 0.219, 0.559)
Ac (0.000, 0.000, 0.000)
Ac (0.267, 0.000, 0.267)
Ac (0.999, 0.340, 0.781)
Ac (0.001, 0.782, 0.341)
Ac (0.782, 0.341, 0.001)
Ac (0.341, 0.001, 0.782)
Ac (0.219, 0.559, 0.218)
Nd (0.000, 0.000, 0.646)
Nd (0.000, 0.646, 0.000)
Nd (0.354, 0.354, 0.354)
Nd (0.646, 0.000, 0.000)

## Properties
E_form   0.366 eV/atom
Fermi-level density of states   48.1 states/eV/f.u.
Magnetic moment   0.0 μB/cell



A relaxed structure of TlCr2Co, computed with GGA-PBE.

Unit cell a=4.949 b=4.949 c=4.949 alpha=139.12 beta=135.16 gamma=62.28
Sites, in units of the cell vectors:
Tl (0.750, 0.250, 0.500)
Co (0.250, 0.750, 0.500)
Cr (0.497, 0.497, 0.000)
Cr (0.003, 0.003, 0.000)

## Properties
E_form   0.652 eV/atom
Fermi-level density of states   5.3 states/eV/f.u.
Magnetic moment   0.0 μB/cell
ΔE to the lowest computed polymorph   180 meV/atom



A relaxed structure of CePaIrPd, computed with GGA-PBE.

Unit cell a=3.811 b=4.152 c=6.045 alpha=90.00 beta=108.38 gamma=90.00
Site moments in Bohr magnetons follow the coordinates.
Sites, in units of the cell vectors:
Pa (0.130, 0.000, 0.260)  0.11
Ce (0.856, 0.500, 0.711)  0.52
Ir (0.601, 0.500, 0.203)  -0.01
Pd (0.413, 0.000, 0.825)  -0.01

## Properties
E_form   -0.729 eV/atom
Fermi-level density of states   7.5 states/eV/f.u.
Magnetic moment   0.7 μB/cell
ΔE to the lowest computed polymorph   0 meV/atom



A relaxed structure of PmPrZnIr, computed with GGA-PBE.

Unit cell a=5.101 b=5.101 c=5.101 alpha=60.00 beta=60.00 gamma=60.00
Sites, in units of the cell vectors:
Ir (0.500, 0.500, 0.500)
Pr (0.250, 0.250, 0.250)
Zn (0.000, 0.000, 0.000)
Pm (0.750, 0.750, 0.750)

## Properties
E_form   -0.470 eV/atom
Fermi-level density of states   1.5 states/eV/f.u.
Magnetic moment   0.0 μB/cell
ΔE to the lowest computed polymorph   36 meV/atom



Number 1: raw total energy -3.941 eV/atom. Number 2: raw total energy -6.527 eV/atom. Number 3: raw total energy -8.100 eV/atom. Number 4: raw total energy -5.386 eV/atom.